Compound: NaMgGaS3
Source: Alexandria via LeMat-Bulk
Functional: PBE
Structure: relaxed

The uncorrected formation energy comes out at -1.03 eV/atom. The calculation puts the total energy at -24.52 eV/f.u. The space-group type is P2_1/m (11).

Unit cell a=3.712 b=6.897 c=12.785 alpha=110.06 beta=90.00 gamma=90.00
Fractional positions:
S (0.750, 0.854, 0.217)
S (0.750, 0.318, 0.062)
S (0.250, 0.682, 0.938)
S (0.250, 0.146, 0.783)
S (0.750, 0.232, 0.532)
S (0.250, 0.768, 0.468)
Ga (0.250, 0.108, 0.605)
Ga (0.750, 0.892, 0.395)
Na (0.250, 0.078, 0.127)
Na (0.750, 0.922, 0.873)
Mg (0.250, 0.583, 0.110)
Mg (0.750, 0.417, 0.890)



Compound: Li2Nb2MoN6
Source: Alexandria via LeMat-Bulk
Functional: PBE
Structure: relaxed

The uncorrected formation energy comes out at -0.53 eV/atom. The calculation puts the total energy at -90.58 eV/f.u. The space-group type is C2/m (12).

Unit cell a=5.320 b=5.320 c=5.437 alpha=99.06 beta=99.06 gamma=119.84
Fractional positions:
N (0.750, 0.750, 0.712)
N (0.062, 0.396, 0.715)
N (0.396, 0.062, 0.715)
N (0.250, 0.250, 0.288)
N (0.938, 0.604, 0.285)
N (0.604, 0.938, 0.285)
Li (0.166, 0.834, 0.000)
Li (0.834, 0.166, 0.000)
Nb (0.667, 0.333, 0.500)
Nb (0.333, 0.667, 0.500)
Mo (0.000, 0.000, 0.500)